Record 1
The following is a DFT calculation (GGA-PBE) of a geometry-optimized ThNi2As structure.

Cell lengths 5.3603, 5.3603, 5.3603 Å; angles 44.53, 44.53, 44.53 degrees
Positions (direct):
Th 0.0000 0.0000 0.0000
Ni 0.2101 0.2101 0.2101
Ni 0.7899 0.7899 0.7899
As 0.5000 0.5000 0.5000

Results
SG: R-3m, No. 166
Calculated total energy (eV per atom): -6.553
Magnetic moment (μB per formula unit): 0.00
ΔE_f (eV per atom): -0.645

Record 2
The following is a DFT calculation (GGA-PBE) of a geometry-optimized ThNi4As2 structure.

Cell lengths 7.8231, 7.8231, 7.8231 Å; angles 30.12, 30.12, 30.12 degrees
Positions (direct):
Th 0.0000 0.0000 0.0000
Ni 0.1407 0.1407 0.1407
Ni 0.4327 0.4327 0.4327
Ni 0.5673 0.5673 0.5673
Ni 0.8593 0.8593 0.8593
As 0.2457 0.2457 0.2457
As 0.7543 0.7543 0.7543

Results
SG: R-3m, No. 166
Calculated total energy (eV per atom): -6.249
Magnetic moment (μB per formula unit): 0.00
ΔE_f (eV per atom): -0.557

Record 3
The following is a DFT calculation (GGA-PBE) of a geometry-optimized ThNi4As2 structure.

Cell lengths 7.3927, 7.3927, 3.8411 Å; angles 90.00, 90.00, 90.00 degrees
Positions (direct):
Th 0.0000 0.0000 0.0000
Th 0.5000 0.5000 0.5000
Ni 0.0895 0.3479 0.5000
Ni 0.1521 0.5895 0.0000
Ni 0.3479 0.0895 0.5000
Ni 0.4105 0.8479 0.0000
Ni 0.5895 0.1521 0.0000
Ni 0.6521 0.9105 0.5000
Ni 0.8479 0.4105 0.0000
Ni 0.9105 0.6521 0.5000
As 0.2182 0.7818 0.5000
As 0.2818 0.2818 0.0000
As 0.7182 0.7182 0.0000
As 0.7818 0.2182 0.5000

Results
SG: P4_2/mnm, No. 136
Calculated total energy (eV per atom): -6.285
Magnetic moment (μB per formula unit): 0.00
ΔE_f (eV per atom): -0.593